1.
! RbPm4 | Alexandria | GGA-PBE | relaxed; values from VASP
&SYSTEM
  ibrav = 0, nat = 5, ntyp = 2
/
ATOMIC_SPECIES
Pm 145.00 Pm.upf
Rb 85.47 Rb.upf
CELL_PARAMETERS angstrom
5.730 0.000 0.000
0.000 5.730 0.000
0.000 0.000 5.730
ATOMIC_POSITIONS crystal
Pm 0.500 0.000 0.500
Pm 0.500 0.500 0.000
Pm 0.000 0.000 0.000
Pm 0.000 0.500 0.500
Rb 0.500 0.500 0.500
! VASP energy: -2.946 eV/atom
! Fermi-level density of states: 8.05 states/eV/f.u.
! ΔH_f (0 K): 5.2 eV/f.u.

2.
! CaIrOs2 | Alexandria | GGA-PBE | relaxed; values from VASP
&SYSTEM
  ibrav = 0, nat = 4, ntyp = 3
/
ATOMIC_SPECIES
Ca 40.08 Ca.upf
Ir 192.22 Ir.upf
Os 190.23 Os.upf
CELL_PARAMETERS angstrom
4.343 0.000 0.000
0.000 3.882 0.000
0.000 0.000 3.882
ATOMIC_POSITIONS crystal
Ca 0.500 0.500 0.000
Ir 0.500 0.000 0.500
Os 0.000 0.000 0.000
Os 0.000 0.500 0.500
! VASP energy: -7.737 eV/atom
! Fermi-level density of states: 5.20 states/eV/f.u.
! Offset from the most stable computed form: 374 meV per atom
! ΔH_f (0 K): 2.4 eV/f.u.

3.
! Pr6In2Ru | Alexandria | GGA-PBE | relaxed; values from VASP
&SYSTEM
  ibrav = 0, nat = 9, ntyp = 3
/
ATOMIC_SPECIES
Pr 140.91 Pr.upf
In 114.82 In.upf
Ru 101.07 Ru.upf
CELL_PARAMETERS angstrom
3.948 0.000 0.000
0.000 8.973 0.000
0.000 -4.486 7.767
ATOMIC_POSITIONS crystal
Pr 0.000 0.000 0.240
Pr 0.500 0.396 0.396
Pr 0.500 0.000 0.604
Pr 0.500 0.604 0.000
Pr 0.000 0.760 0.760
Pr 0.000 0.240 0.000
In 0.000 0.667 0.334
In 0.000 0.333 0.666
Ru 0.500 0.001 0.000
! VASP energy: -5.120 eV/atom
! Fermi-level density of states: 10.36 states/eV/f.u.
! ΔH_f (0 K): -2.7 eV/f.u.